Record 1
YP2OsS | PBE | relaxed

Unit cell a=5.260 b=5.260 c=5.002 alpha=90.00 beta=90.00 gamma=90.00
Fractional positions:
1 Y 0.000 0.000 0.000
2 P 0.000 0.500 0.000
3 P 0.500 0.000 0.000
4 Os 0.500 0.500 0.500
5 S 0.000 0.000 0.500

Output
- Raw formation energy: 7.534 eV/f.u.
- DOS(E_F): 5.8 states/eV per cell
- E_tot: -25.1 eV per cell
- Total magnetic moment: 0.54 μB per atom
- Excess energy over the best structure of this formula in the dataset: 1628 meV per atom
- Symmetry: No. 123

=====

Record 2
YPOsS2 | PBE | relaxed

Unit cell a=4.880 b=4.880 c=4.349 alpha=90.00 beta=90.00 gamma=90.00
Fractional positions:
1 Y 0.000 0.000 0.000
2 P 0.500 0.500 0.000
3 Os 0.500 0.500 0.500
4 S 0.000 0.500 0.500
5 S 0.500 0.000 0.500

Output
- Raw formation energy: -1.036 eV/f.u.
- DOS(E_F): 4.2 states/eV per cell
- E_tot: -32.4 eV per cell
- Total magnetic moment: 0.00 μB per atom
- Excess energy over the best structure of this formula in the dataset: 0 meV per atom
- Symmetry: No. 123

=====

Record 3
YPOsS2 | PBE | relaxed

Unit cell a=5.078 b=5.078 c=5.422 alpha=90.00 beta=90.00 gamma=90.00
Fractional positions:
1 Y 0.000 0.000 0.000
2 P 0.000 0.000 0.500
3 Os 0.500 0.500 0.500
4 S 0.000 0.500 0.000
5 S 0.500 0.000 0.000

Output
- Raw formation energy: 5.918 eV/f.u.
- DOS(E_F): 5.7 states/eV per cell
- E_tot: -25.4 eV per cell
- Total magnetic moment: 0.72 μB per atom
- Excess energy over the best structure of this formula in the dataset: 1391 meV per atom
- Symmetry: No. 123